DFT (PBE) results for TaIr2I2 after structural relaxation.

Lattice parameters (Å, degrees): 4.3448 4.3448 6.5596 70.66 70.66 90.00
Atoms (fractional coordinates):
I1 0.7500 0.2500 0.5000
I2 0.2500 0.7500 0.5000
Ir1 0.3929 0.3929 0.2143
Ir2 0.6071 0.6071 0.7857
Ta1 0.0000 0.0000 0.0000

Calculated values
Distance to the lowest polymorph of the same formula, eV/f.u.: 3.06

DFT (PBE) results for TaIr2I2 after structural relaxation.

Lattice parameters (Å, degrees): 7.5518 7.5518 3.4460 90.00 90.00 90.00
Atoms (fractional coordinates):
I1 0.3351 0.8351 0.0000
I2 0.8351 0.6649 0.0000
I3 0.6649 0.1649 0.0000
I4 0.1649 0.3351 0.0000
Ir1 0.1427 0.6427 0.5000
Ir2 0.6427 0.8573 0.5000
Ir3 0.8573 0.3573 0.5000
Ir4 0.3573 0.1427 0.5000
Ta1 0.0000 0.0000 0.0000
Ta2 0.5000 0.5000 0.0000

Calculated values
Distance to the lowest polymorph of the same formula, eV/f.u.: 1.95

DFT (PBE) results for TaIrI3 after structural relaxation.

Lattice parameters (Å, degrees): 5.4977 5.4977 5.4977 90.00 90.00 90.00
Atoms (fractional coordinates):
I1 0.0000 0.5000 0.0000
I2 0.0000 0.0000 0.5000
I3 0.5000 0.0000 0.0000
Ir1 0.5000 0.5000 0.5000
Ta1 0.0000 0.0000 0.0000

Calculated values
Distance to the lowest polymorph of the same formula, eV/f.u.: 0.24

DFT (PBE) results for TaIr2I2 after structural relaxation.

Lattice parameters (Å, degrees): 6.8452 6.8452 4.5855 90.00 90.00 90.00
Atoms (fractional coordinates):
I1 0.1992 0.6992 0.5000
I2 0.6992 0.8008 0.5000
I3 0.8008 0.3008 0.5000
I4 0.3008 0.1992 0.5000
Ir1 0.3641 0.8641 0.0000
Ir2 0.8641 0.6359 0.0000
Ir3 0.6359 0.1359 0.0000
Ir4 0.1359 0.3641 0.0000
Ta1 0.0000 0.0000 0.0000
Ta2 0.5000 0.5000 0.0000

Calculated values
Distance to the lowest polymorph of the same formula, eV/f.u.: 0.00

DFT (PBE) results for TaIrI2 after structural relaxation.

Lattice parameters (Å, degrees): 4.8776 4.8776 4.8776 60.00 60.00 60.00
Atoms (fractional coordinates):
I1 0.2500 0.2500 0.2500
I2 0.7500 0.7500 0.7500
Ir1 0.5000 0.5000 0.5000
Ta1 0.0000 0.0000 0.0000

Calculated values
Distance to the lowest polymorph of the same formula, eV/f.u.: 0.00

DFT (PBE) results for TaIr3I after structural relaxation.

Lattice parameters (Å, degrees): 4.7835 4.7835 4.7835 90.00 90.00 90.00
Atoms (fractional coordinates):
I1 0.0000 0.0000 0.0000
Ir1 0.0000 0.5000 0.0000
Ir2 0.0000 0.0000 0.5000
Ir3 0.5000 0.0000 0.0000
Ta1 0.5000 0.5000 0.5000

DFT (PBE) results for TaIrI3 after structural relaxation.

Lattice parameters (Å, degrees): 5.3304 5.3304 5.3304 90.00 90.00 90.00
Atoms (fractional coordinates):
I1 0.0000 0.5000 0.0000
I2 0.0000 0.0000 0.5000
I3 0.5000 0.0000 0.0000
Ir1 0.0000 0.0000 0.0000
Ta1 0.5000 0.5000 0.5000

Calculated values
Distance to the lowest polymorph of the same formula, eV/f.u.: 0.00

DFT (PBE) results for TaTeIrI2 after structural relaxation.

Lattice parameters (Å, degrees): 5.4792 5.4792 5.3918 90.00 90.00 90.00
Atoms (fractional coordinates):
I1 0.0000 0.5000 0.0000
I2 0.5000 0.0000 0.0000
Ir1 0.5000 0.5000 0.5000
Te1 0.0000 0.0000 0.5000
Ta1 0.0000 0.0000 0.0000

Calculated values
Distance to the lowest polymorph of the same formula, eV/f.u.: 0.00

no.,formation energy without anion corrections (eV/f.u.)
1,7.126
2,6.016
3,6.700
4,4.065
5,4.255
6,10.806
7,6.460
8,6.543